No. 1
Sc5Se2 after structural relaxation, computed with PBE.

Unit cell a=15.239 b=6.264 c=6.515 alpha=90.00 beta=96.61 gamma=90.00
Space group C2/c (No. 15)
Asymmetric unit:
Sc (0.000, 0.118, 0.250) (multiplicity 4)
Sc (0.098, 0.437, 0.928) (multiplicity 8)
Sc (0.223, 0.130, 0.286) (multiplicity 8)
Se (0.113, 0.171, 0.599) (multiplicity 8)

Results
- formation energy (no corrections) (kcal/mol of atoms) = -20.1

***

No. 2
Si2PbAu after structural relaxation, computed with PBE.

Unit cell a=6.625 b=3.852 c=7.096 alpha=90.00 beta=108.40 gamma=90.00
Space group Cm (No. 8)
Asymmetric unit:
Si (0.000, 0.000, 0.000) (multiplicity 2)
Si (0.212, 0.500, 0.138) (multiplicity 2)
Pb (0.487, 0.000, 0.473) (multiplicity 2)
Au (0.253, 0.000, 0.770) (multiplicity 2)

Results
- formation energy (no corrections) (kcal/mol of atoms) = 3.6

***

No. 3
LiMg2Hg2 after structural relaxation, computed with PBE.

Unit cell a=4.315 b=4.315 c=13.701 alpha=90.00 beta=90.00 gamma=90.00
Space group I4/mmm (No. 139)
Asymmetric unit:
Li (0.000, 0.000, 0.000) (multiplicity 2)
Mg (0.000, 0.000, 0.395) (multiplicity 4)
Hg (0.000, 0.500, 0.250) (multiplicity 4)

Results
- formation enthalpy at 0 K (eV/atom) = 0.0136

***

No. 4
CaNd6SmDy2 after structural relaxation, computed with PBE.

Unit cell a=9.253 b=15.527 c=9.924 alpha=90.00 beta=98.41 gamma=90.00
Space group C2/c (No. 15)
Asymmetric unit:
Ca (0.000, 0.098, 0.250) (multiplicity 4)
Nd (0.063, 0.324, 0.448) (multiplicity 8)
Nd (0.103, 0.106, 0.622) (multiplicity 8)
Nd (0.203, 0.270, 0.823) (multiplicity 8)
Sm (0.000, 0.473, 0.750) (multiplicity 4)
Dy (0.248, 0.450, 0.044) (multiplicity 8)

Results
- formation enthalpy at 0 K (eV/atom) = 0.1311